[1]
# MgAlSe2, relaxed, DFT PBE
data_MgAlSe2
_space_group_name_H-M_alt 'I -4 2 d'
_space_group_IT_number 122
_space_group_name_Hall 'I -4 2bw'
_cell_length_a 5.885
_cell_length_b 5.885
_cell_length_c 12.799
_cell_angle_alpha 90.00
_cell_angle_beta 90.00
_cell_angle_gamma 90.00
loop_
_atom_site_label
_atom_site_type_symbol
_atom_site_fract_x
_atom_site_fract_y
_atom_site_fract_z
_atom_site_occupancy
Mg1 Mg 0.000 0.000 0.000 1
Al1 Al 0.000 0.000 0.500 1
Se1 Se 0.242 0.250 0.625 1
# Formation energy (no corrections) in kcal/mol of atoms: -15.4
# Spin magnetization in μB per formula unit: 0.0
# Distance to the lowest polymorph of the same formula in meV per atom: 152.5
# E_tot in Ry per atom: -0.27532

=====

[2]
# MgAl2Se, relaxed, DFT PBE
data_MgAl2Se
_space_group_name_H-M_alt 'F m -3 m'
_space_group_IT_number 225
_space_group_name_Hall '-F 4 2 3'
_cell_length_a 6.831
_cell_length_b 6.831
_cell_length_c 6.831
_cell_angle_alpha 90.00
_cell_angle_beta 90.00
_cell_angle_gamma 90.00
loop_
_atom_site_label
_atom_site_type_symbol
_atom_site_fract_x
_atom_site_fract_y
_atom_site_fract_z
_atom_site_occupancy
Mg1 Mg 0.000 0.000 0.000 1
Al1 Al 0.250 0.250 0.250 1
Se1 Se 0.000 0.000 0.500 1
# Formation energy (no corrections) in kcal/mol of atoms: 4.8
# Spin magnetization in μB per formula unit: 0.0
# Distance to the lowest polymorph of the same formula in meV per atom: 403.1
# E_tot in Ry per atom: -0.21564

=====

[3]
# MgAl2Se, relaxed, DFT PBE
data_MgAl2Se
_space_group_name_H-M_alt 'C 1 m 1'
_space_group_IT_number 8
_cell_length_a 8.367
_cell_length_b 3.540
_cell_length_c 6.676
_cell_angle_alpha 90.00
_cell_angle_beta 117.98
_cell_angle_gamma 90.00
loop_
_space_group_symop_operation_xyz
'x,y,z'
'x,-y,z'
'x+1/2,y+1/2,z'
'x+1/2,-y+1/2,z'
loop_
_atom_site_label
_atom_site_type_symbol
_atom_site_fract_x
_atom_site_fract_y
_atom_site_fract_z
_atom_site_occupancy
Mg1 Mg 0.000 0.000 0.000 1
Al1 Al 0.174 0.000 0.708 1
Al2 Al 0.399 0.000 0.545 1
Se1 Se 0.286 0.500 0.212 1
# Formation energy (no corrections) in kcal/mol of atoms: -4.1
# Spin magnetization in μB per formula unit: 0.0
# Distance to the lowest polymorph of the same formula in meV per atom: 19.5
# E_tot in Ry per atom: -0.24383

=====

[4]
# MgAlSe2, relaxed, DFT PBE
data_MgAlSe2
_space_group_name_H-M_alt 'C m m 2'
_space_group_IT_number 35
_cell_length_a 3.936
_cell_length_b 5.522
_cell_length_c 9.506
_cell_angle_alpha 90.00
_cell_angle_beta 90.00
_cell_angle_gamma 90.00
loop_
_space_group_symop_operation_xyz
'x,y,z'
'-x,-y,z'
'-x,y,z'
'x,-y,z'
'x+1/2,y+1/2,z'
'-x+1/2,-y+1/2,z'
'-x+1/2,y+1/2,z'
'x+1/2,-y+1/2,z'
loop_
_atom_site_label
_atom_site_type_symbol
_atom_site_fract_x
_atom_site_fract_y
_atom_site_fract_z
_atom_site_occupancy
Mg1 Mg 0.000 0.000 0.000 1
Al1 Al 0.000 0.500 0.727 1
Se1 Se 0.000 0.000 0.578 1
Se2 Se 0.000 0.500 0.170 1
# Formation energy (no corrections) in kcal/mol of atoms: -4.9
# Spin magnetization in μB per formula unit: 0.0
# Distance to the lowest polymorph of the same formula in meV per atom: 609.6
# E_tot in Ry per atom: -0.24171

=====

[5]
# MgAl2Se, relaxed, DFT PBE
data_MgAl2Se
_space_group_name_H-M_alt 'P 1 m 1'
_space_group_IT_number 6
_cell_length_a 3.782
_cell_length_b 3.507
_cell_length_c 6.412
_cell_angle_alpha 90.00
_cell_angle_beta 106.36
_cell_angle_gamma 90.00
loop_
_space_group_symop_operation_xyz
'x,y,z'
'x,-y,z'
loop_
_atom_site_label
_atom_site_type_symbol
_atom_site_fract_x
_atom_site_fract_y
_atom_site_fract_z
_atom_site_occupancy
Mg1 Mg 0.000 0.000 0.000 1
Al1 Al 0.227 0.000 0.475 1
Al2 Al 0.649 0.500 0.309 1
Se1 Se 0.422 0.500 0.841 1
# Formation energy (no corrections) in kcal/mol of atoms: -4.5
# Spin magnetization in μB per formula unit: 0.0
# Distance to the lowest polymorph of the same formula in meV per atom: 0.0
# E_tot in Ry per atom: -0.24526

=====

[6]
# MgAl2Se, relaxed, DFT PBE
data_MgAl2Se
_space_group_name_H-M_alt 'C m m m'
_space_group_IT_number 65
_space_group_name_Hall '-C 2 2'
_cell_length_a 4.750
_cell_length_b 4.783
_cell_length_c 6.892
_cell_angle_alpha 90.00
_cell_angle_beta 90.00
_cell_angle_gamma 90.00
loop_
_atom_site_label
_atom_site_type_symbol
_atom_site_fract_x
_atom_site_fract_y
_atom_site_fract_z
_atom_site_occupancy
Mg1 Mg 0.000 0.000 0.000 1
Al1 Al 0.000 0.500 0.279 1
Se1 Se 0.000 0.000 0.500 1
# Formation energy (no corrections) in kcal/mol of atoms: -0.8
# Spin magnetization in μB per formula unit: 0.0
# Distance to the lowest polymorph of the same formula in meV per atom: 160.8
# E_tot in Ry per atom: -0.23344

=====

[7]
# MgAlSe3, relaxed, DFT PBE
data_MgAlSe3
_space_group_name_H-M_alt 'P m -3 m'
_space_group_IT_number 221
_space_group_name_Hall '-P 4 2 3'
_cell_length_a 5.084
_cell_length_b 5.084
_cell_length_c 5.084
_cell_angle_alpha 90.00
_cell_angle_beta 90.00
_cell_angle_gamma 90.00
loop_
_atom_site_label
_atom_site_type_symbol
_atom_site_fract_x
_atom_site_fract_y
_atom_site_fract_z
_atom_site_occupancy
Mg1 Mg 0.000 0.000 0.000 1
Al1 Al 0.500 0.500 0.500 1
Se1 Se 0.000 0.000 0.500 1
# Formation energy (no corrections) in kcal/mol of atoms: 4.1
# Spin magnetization in μB per formula unit: 0.0
# Distance to the lowest polymorph of the same formula in meV per atom: 392.7
# E_tot in Ry per atom: -0.21892

=====

[8]
# MgAl2Se, relaxed, DFT PBE
data_MgAl2Se
_space_group_name_H-M_alt 'P 4 m m'
_space_group_IT_number 99
_cell_length_a 3.351
_cell_length_b 3.351
_cell_length_c 6.900
_cell_angle_alpha 90.00
_cell_angle_beta 90.00
_cell_angle_gamma 90.00
loop_
_space_group_symop_operation_xyz
'x,y,z'
'-y,x,z'
'-x,-y,z'
'y,-x,z'
'-x,y,z'
'y,x,z'
'x,-y,z'
'-y,-x,z'
loop_
_atom_site_label
_atom_site_type_symbol
_atom_site_fract_x
_atom_site_fract_y
_atom_site_fract_z
_atom_site_occupancy
Mg1 Mg 0.000 0.000 0.000 1
Al1 Al 0.000 0.000 0.468 1
Al2 Al 0.500 0.500 0.708 1
Se1 Se 0.500 0.500 0.237 1
# Formation energy (no corrections) in kcal/mol of atoms: -2.8
# Spin magnetization in μB per formula unit: 0.0
# Distance to the lowest polymorph of the same formula in meV per atom: 73.0
# E_tot in Ry per atom: -0.23989